Compound: NbNi2AsF
Source: Alexandria via LeMat-Bulk
Functional: GGA+U
Structure: relaxed

Cell lengths 4.0703, 4.0703, 4.2046 Å; angles 90.00, 90.00, 90.00 degrees
With the nearest neighbours (Å) after each atom.
Fractional positions:
Nb (0.0000, 0.0000, 0.0000)  2 F 2.10
Ni (0.0000, 0.5000, 0.5000)  2 F 2.04
Ni (0.5000, 0.0000, 0.5000)  2 F 2.04
As (0.5000, 0.5000, 0.0000)  4 Nb 2.88, 8 Ni 2.93
F (0.0000, 0.0000, 0.5000)  4 Ni 2.04, 2 Nb 2.10

VASP energy   -3.81 eV/atom
Space group   No. 123
Magnetization   0.1741 μB/atom
Volume   69.66 Å³ per cell